No. 1
Below is La2ZnIrI after structural relaxation, with properties calculated at the PBE level.

abc: 5.5616 5.5616 4.9578
angles: 90.00 90.00 90.00
With the nearest neighbours (Å) after each atom.
Fractional coordinates of all 5 atoms:
Ir1 0.0000 0.0000 0.0000  2 Zn 2.48
La1 0.0000 0.5000 0.0000  2 Ir 2.78
La2 0.5000 0.0000 0.0000  2 Ir 2.78
Zn1 0.0000 0.0000 0.5000  2 Ir 2.48
I1 0.5000 0.5000 0.5000  8 La 3.73, 4 Zn 3.93

Calculated values
size of the total moment: 0.0 Bohr magnetons per cell
energy relative to the elements, uncorrected: -328 kJ/mol of formula units

No. 2
Below is La6ZnIr2I3 after structural relaxation, with properties calculated at the PBE level.

abc: 7.4887 7.4887 8.6154
angles: 98.35 98.35 119.95
With the nearest neighbours (Å) after each atom.
Fractional coordinates of all 12 atoms:
Ir1 0.3330 0.6670 0.0000  6 La 2.88-2.89
Ir2 0.6670 0.3330 0.0000  6 La 2.88-2.89
La1 0.4174 0.0634 0.1907  2 Ir 2.88-2.89, 1 Zn 3.08
La2 0.9366 0.5826 0.8093  2 Ir 2.88-2.89, 1 Zn 3.08
La3 0.5826 0.9366 0.8093  2 Ir 2.88-2.89, 1 Zn 3.08
La4 0.7093 0.7093 0.1895  2 Ir 2.89, 1 Zn 3.08
La5 0.2907 0.2907 0.8105  2 Ir 2.89, 1 Zn 3.08
La6 0.0634 0.4174 0.1907  2 Ir 2.88-2.89, 1 Zn 3.08
I1 0.5000 0.5000 0.5000  6 La 3.47-3.63
I2 0.1628 0.8372 0.5000  6 La 3.49-3.63
I3 0.8372 0.1628 0.5000  6 La 3.49-3.63
Zn1 0.0000 0.0000 0.0000  6 La 3.08

Calculated values
size of the total moment: 0.0 Bohr magnetons per cell
energy relative to the elements, uncorrected: -1089 kJ/mol of formula units

No. 3
Below is La8ZnIr3I4 after structural relaxation, with properties calculated at the PBE level.

abc: 8.6247 9.6295 8.6275
angles: 116.64 119.99 90.00
With the nearest neighbours (Å) after each atom.
Fractional coordinates of all 16 atoms:
La1 0.7123 0.6865 0.9496  2 Ir 2.87-2.88, 1 Zn 3.03
La2 0.7628 0.3135 0.5256  2 Ir 2.88, 1 Zn 3.03
La3 0.2877 0.3135 0.0504  2 Ir 2.87-2.88, 1 Zn 3.03
La4 0.2703 0.3115 0.5407  3 Ir 2.93-2.94
La5 0.7627 0.3135 0.0504  2 Ir 2.87-2.88, 1 Zn 3.03
La6 0.7297 0.6885 0.4593  3 Ir 2.93-2.94
La7 0.2373 0.6865 0.9496  2 Ir 2.87-2.88, 1 Zn 3.03
La8 0.2372 0.6865 0.4744  2 Ir 2.88, 1 Zn 3.03
I1 0.5000 0.0000 0.0000  6 La 3.50
I2 0.5000 0.0000 0.5000  6 La 3.58-3.63
I3 0.0000 0.0000 0.0000  6 La 3.57-3.63
I4 0.0000 0.0000 0.5000  6 La 3.58-3.63
Ir1 0.5000 0.5000 0.5000  6 La 2.88-2.93
Ir2 0.5000 0.5000 0.0000  6 La 2.87-2.94
Ir3 0.0000 0.5000 0.5000  6 La 2.88-2.93
Zn1 0.0000 0.5000 0.0000  6 La 3.03

Calculated values
size of the total moment: 0.0 Bohr magnetons per cell
energy relative to the elements, uncorrected: -1506 kJ/mol of formula units

No. 4
Below is Li2IrI after structural relaxation, with properties calculated at the PBE level.

abc: 4.0498 4.0206 4.0206
angles: 90.00 90.00 90.00
With the nearest neighbours (Å) after each atom.
Fractional coordinates of all 4 atoms:
Li1 0.0000 0.5000 0.0000  4 Li 2.84, 4 Ir 2.85, 4 I 2.85
Li2 0.0000 0.0000 0.5000  4 Li 2.84, 4 Ir 2.85, 4 I 2.85
I1 0.5000 0.5000 0.5000  4 Ir 2.84, 8 Li 2.85
Ir1 0.5000 0.0000 0.0000  4 I 2.84, 8 Li 2.85

Calculated values
size of the total moment: 0.0 Bohr magnetons per cell
energy above the most stable polymorph in this dataset: 0 meV per atom
energy relative to the elements, uncorrected: -7 kJ/mol of formula units

Ρ across the listed records, respectively: 7.2; 6.9; 7.1; 8.4 g/cm³.
E across the listed records, respectively: -24.94; -64.49; -89.09; -14.31 eV per cell.